! CrPS2O (PBE with a Hubbard U, optimized geometry); values from VASP
&SYSTEM
  ibrav = 0, nat = 5, ntyp = 4
/
ATOMIC_SPECIES
S 32.06 S.upf
Cr 52.00 Cr.upf
P 30.97 P.upf
O 16.00 O.upf
ATOMIC_POSITIONS crystal
S 0.000 0.500 0.000
S 0.500 0.000 0.000
Cr 0.500 0.500 0.500
P 0.000 0.000 0.500
O 0.000 0.000 0.000
CELL_PARAMETERS angstrom
-1.332 -3.749 1.728
3.028 0.347 3.086
-2.627 2.017 2.351
! DOS at the Fermi energy = 2.1 states/eV per cell
! excess energy over the best structure of this formula in the dataset = 0.000 eV/atom
! total magnetization = 3.04 μB/f.u.